[1]
The following is a DFT calculation (GGA-PBE) of an optimized crystal structure of CsBeHg2.

Cell and atoms, written as POSCAR:
```
CsBeHg2
1.0
-3.3491 3.3491 6.6663
3.3491 -3.3491 6.6663
3.3491 3.3491 -6.6663
Cs Be Hg
2 2 4
direct
0.3750 0.6250 0.7500
0.6250 0.3750 0.2500
0.1250 0.8750 0.2500
0.8750 0.1250 0.7500
0.0000 0.0000 0.0000
0.0000 0.0000 0.5000
0.0000 0.5000 0.0000
0.5000 0.0000 0.5000
```

Properties
For the total moment, the calculation gives 0.0 Bohr magnetons per cell. The value obtained for the energy relative to the elements is 100 meV per atom.

=====

[2]
The following is a DFT calculation (GGA-PBE) of an optimized crystal structure of SrLiBi2Au4.

Cell and atoms, written as POSCAR:
```
SrLiBi2Au4
1.0
2.4260 1.4007 9.3670
-2.4260 1.4007 9.3670
0.0000 -2.8013 9.3670
Sr Li Bi Au
1 1 2 4
direct
0.0000 0.0000 0.0000
0.5000 0.5000 0.5000
0.2438 0.2438 0.2438
0.7562 0.7562 0.7562
0.1410 0.1410 0.1410
0.3946 0.3946 0.3946
0.6054 0.6054 0.6054
0.8590 0.8590 0.8590
```

Properties
For the total moment, the calculation gives 0.0 Bohr magnetons per cell. The value obtained for the energy relative to the elements is -387 meV per atom.